(1)
The following is a PBE-GGA calculation of a relaxed MnAlBr2 crystal, from Alexandria via LeMat-Bulk.

The structure belongs to space group Cmmm (No. 65); the cell edges are 3.596, 6.438 and 9.493 Å and the angles 90.00°, 90.00° and 90.00°. The distinct sites, in fractional coordinates, are Mn at (0.000, 0.000, 0.000), Al at (0.000, 0.000, 0.500) and Br at (0.000, 0.500, 0.193).

Its energy above the most stable polymorph in this dataset is 324 meV/atom. As for the energy relative to the elements, uncorrected: -28 meV per atom.

(2)
The following is a PBE-GGA calculation of a relaxed TlCo2Cu crystal, from Alexandria via LeMat-Bulk.

The structure belongs to space group P4/mmm (No. 123); the cell edges are 3.782, 3.782 and 3.971 Å and the angles 90.00°, 90.00° and 90.00°. The distinct sites, in fractional coordinates, are Tl at (0.000, 0.000, 0.000), Co at (0.000, 0.500, 0.500) and Cu at (0.500, 0.500, 0.000).

Its energy above the most stable polymorph in this dataset is 97 meV/atom. For the formation energy, the calculation gives 0.47 eV per atom.